The following is a PBE-GGA calculation of a geometry-optimized TbDyPd14 structure, from Alexandria via LeMat-Bulk.

Geometry as CIF:
```
data_TbDyPd14
_cell_length_a 5.761
_cell_length_b 5.761
_cell_length_c 7.973
_cell_angle_alpha 90.00
_cell_angle_beta 90.00
_cell_angle_gamma 90.00
_space_group_name_H-M_alt 'P 1'
_space_group_IT_number 1
loop_
_space_group_symop_operation_xyz
'x,y,z'
loop_
_atom_site_label
_atom_site_type_symbol
_atom_site_fract_x
_atom_site_fract_y
_atom_site_fract_z
Tb1 Tb 0.000 0.000 0.000
Dy1 Dy 0.500 0.500 0.000
Pd1 Pd 0.000 0.000 0.500
Pd2 Pd 0.000 0.500 0.000
Pd3 Pd 0.000 0.500 0.500
Pd4 Pd 0.250 0.250 0.259
Pd5 Pd 0.250 0.250 0.741
Pd6 Pd 0.250 0.750 0.259
Pd7 Pd 0.250 0.750 0.741
Pd8 Pd 0.500 0.000 0.000
Pd9 Pd 0.500 0.000 0.500
Pd10 Pd 0.500 0.500 0.500
Pd11 Pd 0.750 0.250 0.259
Pd12 Pd 0.750 0.250 0.741
Pd13 Pd 0.750 0.750 0.259
Pd14 Pd 0.750 0.750 0.741
```

Properties
- Space group: P4/mmm
- Total moment: 0.00 μB per cell
- ΔH_f (0 K): -0.412 eV/atom